Below is a geometry-optimized Ce3Th5H12 structure, with properties calculated at the GGA-PBE level.

Fermi-level density of states: 91.6 states/eV/cell
Magnetization: 1.869 μB per formula unit
Uncorrected energy: -5.117 eV/atom
Space-group type: No. 230

Cell and atoms, written as extended XYZ:
```
80
Lattice="-6.735 6.735 6.735 6.735 -6.735 6.735 6.735 6.735 -6.735" Properties=species:S:1:pos:R:3 pbc="T T T"
Ce 3.367 1.684 0.000
Ce 6.735 3.367 -1.684
Ce 1.684 0.000 3.367
Ce 8.418 0.000 3.367
Ce 0.000 3.367 1.684
Ce 3.367 -1.684 6.735
Ce 3.367 8.418 0.000
Ce 6.735 3.367 5.051
Ce -1.684 6.735 3.367
Ce 5.051 6.735 3.367
Ce 0.000 3.367 8.418
Ce 3.367 5.051 6.735
Th 0.000 0.000 0.000
Th 3.367 3.367 -3.367
Th 3.367 -3.367 3.367
Th 6.735 0.000 0.000
Th 10.102 1.684 0.000
Th 6.735 -3.367 5.051
Th 5.051 6.735 -3.367
Th 5.051 0.000 3.367
Th 3.367 5.051 0.000
Th 6.735 3.367 1.684
Th -3.367 3.367 3.367
Th 0.000 6.735 0.000
Th 0.000 0.000 6.735
Th 3.367 3.367 3.367
Th 0.000 3.367 5.051
Th 3.367 1.684 6.735
Th 1.684 6.735 3.367
Th 1.684 0.000 10.102
Th 0.000 10.102 1.684
Th -3.367 5.051 6.735
H 8.821 -0.007 1.008
H 8.016 -2.359 3.360
H 2.086 0.007 1.008
H 8.016 4.375 -3.360
H 6.742 -1.008 2.086
H 10.095 -1.281 2.359
H 4.375 3.360 -1.281
H 5.727 2.086 -0.007
H 1.008 2.086 0.007
H 9.094 3.374 -1.281
H 0.007 1.008 2.086
H 3.360 -1.281 4.375
H 6.742 5.727 -2.086
H 3.360 1.281 2.359
H 2.359 3.360 1.281
H 7.743 4.648 -0.007
H 4.375 -3.360 8.016
H 5.727 -2.086 6.742
H 3.360 8.016 -2.359
H 6.742 1.008 4.648
H 1.281 2.359 3.360
H 2.086 -0.007 5.727
H 2.086 6.742 -1.008
H 8.016 2.359 3.374
H -1.281 4.375 3.360
H 4.648 -0.007 7.743
H 4.648 6.742 1.008
H 5.453 4.375 3.374
H -0.007 5.727 2.086
H 3.374 -1.281 9.094
H 1.008 8.821 -0.007
H 2.359 10.095 -1.281
H -1.008 2.086 6.742
H 4.375 3.374 5.453
H 3.374 5.453 4.375
H -0.007 1.008 8.821
H 3.374 8.016 2.359
H 6.728 5.727 4.648
H -2.359 3.360 8.016
H 5.727 4.648 6.728
H 1.008 4.648 6.742
H 2.359 3.374 8.016
H -3.360 8.016 4.375
H -0.007 7.743 4.648
H -1.281 2.359 10.095
H 4.648 6.728 5.727
H -1.281 9.094 3.374
H -2.086 6.742 5.727
```

=====

Below is a geometry-optimized CeThH3 structure, with properties calculated at the GGA-PBE level.

Fermi-level density of states: 33.1 states/eV/cell
Magnetization: 0.939 μB per formula unit
Uncorrected energy: -5.127 eV/atom
Space-group type: No. 227

Cell and atoms, written as extended XYZ:
```
20
Lattice="0.000 5.409 5.409 5.409 0.000 5.409 5.409 5.409 0.000" Properties=species:S:1:pos:R:3 pbc="T T T"
Ce 0.000 0.000 0.000
Ce 2.704 2.704 0.000
Ce 2.704 0.000 2.704
Ce 0.000 2.704 2.704
Th 5.409 2.704 2.704
Th 2.704 5.409 2.704
Th 2.704 2.704 5.409
Th 5.409 5.409 5.409
H 4.057 4.057 1.362
H 4.057 1.362 4.057
H 6.751 4.057 4.057
H 6.761 6.761 4.066
H 6.761 4.066 6.761
H 9.456 6.761 6.761
H 1.362 4.057 4.057
H 4.057 6.751 4.057
H 4.057 4.057 6.751
H 4.066 6.761 6.761
H 6.761 9.456 6.761
H 6.761 6.761 9.456
```

=====

Below is a geometry-optimized CeTh2H2 structure, with properties calculated at the GGA-PBE level.

Fermi-level density of states: 15.0 states/eV/cell
Magnetization: 0.000 μB per formula unit
Uncorrected energy: -5.670 eV/atom
Space-group type: No. 194

Cell and atoms, written as extended XYZ:
```
10
Lattice="3.529 0.000 0.000 -1.764 3.056 0.000 0.000 0.000 18.135" Properties=species:S:1:pos:R:3 pbc="T T T"
Ce 0.000 2.037 4.534
Ce 1.764 1.019 13.601
Th 0.000 2.037 10.559
Th 0.000 2.037 16.642
Th 1.764 1.019 1.492
Th 1.764 1.019 7.575
H 0.000 0.000 3.085
H 0.000 0.000 5.982
H 0.000 0.000 12.152
H 0.000 0.000 15.050
```

=====

Below is a geometry-optimized CeTh2H6 structure, with properties calculated at the GGA-PBE level.

Fermi-level density of states: 8.9 states/eV/cell
Magnetization: 0.891 μB per formula unit
Uncorrected energy: -5.069 eV/atom
Space-group type: No. 12

Cell and atoms, written as extended XYZ:
```
9
Lattice="6.099 -2.750 0.000 6.099 2.750 0.000 -1.209 0.000 3.657" Properties=species:S:1:pos:R:3 pbc="T T T"
Ce 0.000 0.000 0.000
Th 3.668 0.000 1.221
Th 7.321 0.000 2.437
H 3.044 1.366 3.043
H 5.494 1.348 1.829
H 7.944 1.366 0.614
H 3.044 -1.366 3.043
H 5.494 -1.348 1.829
H 7.944 -1.366 0.614
```

=====

Below is a geometry-optimized CeThH6 structure, with properties calculated at the GGA-PBE level.

Fermi-level density of states: 6.7 states/eV/cell
Magnetization: 0.832 μB per formula unit
Uncorrected energy: -4.612 eV/atom
Space-group type: No. 12

Cell and atoms, written as extended XYZ:
```
8
Lattice="3.029 -2.316 0.000 3.029 2.316 0.000 -0.992 0.000 5.925" Properties=species:S:1:pos:R:3 pbc="T T T"
Ce 0.000 0.000 0.000
Th 2.533 0.000 2.962
H 1.496 1.200 1.293
H 0.278 0.000 2.387
H 3.570 1.200 4.632
H 1.496 -1.200 1.293
H 4.788 0.000 3.538
H 3.570 -1.200 4.632
```

=====

Below is a geometry-optimized Ce2Th2H structure, with properties calculated at the GGA-PBE level.

Fermi-level density of states: 10.0 states/eV/cell
Magnetization: 0.001 μB per formula unit
Uncorrected energy: -6.133 eV/atom
Space-group type: No. 123

Cell and atoms, written as extended XYZ:
```
5
Lattice="4.968 0.000 0.000 0.000 4.968 0.000 0.000 0.000 4.973" Properties=species:S:1:pos:R:3 pbc="T T T"
Ce 0.000 2.484 0.000
Ce 2.484 0.000 0.000
Th 0.000 0.000 2.487
Th 2.484 2.484 2.487
H 0.000 0.000 0.000
```

=====

Below is a geometry-optimized Ce3ThH8 structure, with properties calculated at the GGA-PBE level.

Fermi-level density of states: 21.2 states/eV/cell
Magnetization: 2.443 μB per formula unit
Uncorrected energy: -4.874 eV/atom
Space-group type: No. 139

Cell and atoms, written as extended XYZ:
```
12
Lattice="-2.724 2.724 5.458 2.724 -2.724 5.458 2.724 2.724 -5.458" Properties=species:S:1:pos:R:3 pbc="T T T"
Ce 0.000 0.000 0.000
Ce 2.724 0.000 2.729
Ce 0.000 2.724 2.729
Th 0.000 0.000 5.458
H 1.371 1.371 -1.357
H 1.353 -1.353 4.101
H 1.371 1.371 1.357
H 1.353 -1.353 6.815
H -1.353 1.353 4.101
H 1.353 1.353 4.101
H -1.353 1.353 6.815
H 1.353 1.353 6.815
```

=====

Below is a geometry-optimized Ce4ThH10 structure, with properties calculated at the GGA-PBE level.

Fermi-level density of states: 27.6 states/eV/cell
Magnetization: 3.243 μB per formula unit
Uncorrected energy: -4.848 eV/atom
Space-group type: No. 87

Cell and atoms, written as extended XYZ:
```
15
Lattice="-4.309 4.309 2.722 4.309 -4.309 2.722 4.309 4.309 -2.722" Properties=species:S:1:pos:R:3 pbc="T T T"
Ce 2.593 0.858 0.000
Ce 3.452 -1.716 2.722
Ce 0.858 6.026 0.000
Ce 1.716 3.452 2.722
Th 0.000 0.000 2.722
H 3.452 2.597 -1.354
H 1.712 -0.858 1.369
H 4.309 0.000 1.361
H 2.597 5.167 -1.354
H 0.858 1.712 1.369
H 3.452 2.597 1.354
H 1.712 -0.858 4.076
H 0.000 4.309 1.361
H 2.597 5.167 1.354
H 0.858 1.712 4.076
```

=====

Below is a geometry-optimized CeTh4H10 structure, with properties calculated at the GGA-PBE level.

Fermi-level density of states: 10.2 states/eV/cell
Magnetization: 0.953 μB per formula unit
Uncorrected energy: -5.125 eV/atom
Space-group type: No. 87

Cell and atoms, written as extended XYZ:
```
15
Lattice="-4.293 4.293 2.776 4.293 -4.293 2.776 4.293 4.293 -2.776" Properties=species:S:1:pos:R:3 pbc="T T T"
Ce 0.000 0.000 0.000
Th 5.152 1.722 0.000
Th 1.722 3.434 0.000
Th 2.571 0.859 2.776
Th -0.859 2.571 2.776
H 3.426 2.560 -1.378
H 1.733 -0.867 1.399
H 4.293 0.000 1.388
H 2.560 5.160 -1.378
H 0.867 1.733 1.399
H 3.426 2.560 1.378
H 1.733 -0.867 4.154
H 0.000 4.293 1.388
H 2.560 5.160 1.378
H 0.867 1.733 4.154
```

=====

Below is a geometry-optimized CeTh2H structure, with properties calculated at the GGA-PBE level.

Fermi-level density of states: 6.9 states/eV/cell
Magnetization: 0.000 μB per formula unit
Polymorph energy (0 for the lowest one): 126 meV/atom
Uncorrected energy: -5.833 eV/atom
Space-group type: No. 123

Cell and atoms, written as extended XYZ:
```
4
Lattice="3.348 0.000 0.000 0.000 3.348 0.000 0.000 0.000 8.478" Properties=species:S:1:pos:R:3 pbc="T T T"
Ce 0.000 0.000 0.000
Th 1.674 1.674 2.645
Th 1.674 1.674 5.832
H 0.000 0.000 4.239
```

=====

Which of these has the lowest Fermi-level density of states?
CeThH6

=====

Number 1 is which compound?
Ce3Th5H12

=====

Copy entry 7 word for word.
Below is a geometry-optimized Ce3ThH8 structure, with properties calculated at the GGA-PBE level.

Fermi-level density of states: 21.2 states/eV/cell
Magnetization: 2.443 μB per formula unit
Uncorrected energy: -4.874 eV/atom
Space-group type: No. 139

Cell and atoms, written as extended XYZ:
```
12
Lattice="-2.724 2.724 5.458 2.724 -2.724 5.458 2.724 2.724 -5.458" Properties=species:S:1:pos:R:3 pbc="T T T"
Ce 0.000 0.000 0.000
Ce 2.724 0.000 2.729
Ce 0.000 2.724 2.729
Th 0.000 0.000 5.458
H 1.371 1.371 -1.357
H 1.353 -1.353 4.101
H 1.371 1.371 1.357
H 1.353 -1.353 6.815
H -1.353 1.353 4.101
H 1.353 1.353 4.101
H -1.353 1.353 6.815
H 1.353 1.353 6.815
```